1.
{
  "formula": "YReSi3Ni",
  "functional": "PBE",
  "state": "optimized geometry",
  "cell": [[5.4638, 0.0000, 0.0000], [0.0000, 6.1540, 0.0000], [0.0000, -3.0770, 6.6124]],
  "species": ["Re", "Y", "Si", "Ni", "Y", "Si", "Ni", "Re", "Si", "Si", "Si", "Si"],
  "fractional_positions": [[0.7500, 0.9466, 0.8932], [0.7500, 0.2931, 0.5861], [0.5000, 0.3052, 0.0000], [0.7500, 0.6102, 0.2204], [0.2500, 0.7069, 0.4139], [0.7500, 0.7736, 0.5473], [0.2500, 0.3898, 0.7796], [0.2500, 0.0534, 0.1068], [0.5000, 0.6948, 0.0000], [0.2500, 0.2264, 0.4527], [0.0000, 0.6948, 0.0000], [0.0000, 0.3052, 0.0000]],
  "formation_energy_uncorrected_ev_per_fu": -1.681
}

2.
{
  "formula": "Pb2WBr",
  "functional": "PBE",
  "state": "optimized geometry",
  "cell": [[3.3744, 0.0050, 0.0000], [-1.8198, 2.8417, 0.0000], [0.0000, 0.0000, 10.9215]],
  "species": ["Br", "Pb", "W", "Pb"],
  "fractional_positions": [[0.5000, 0.5000, 0.6943], [0.5000, 0.5000, 0.2865], [0.0000, 0.0000, 0.5112], [0.0000, 0.0000, 0.0080]],
  "formation_energy_uncorrected_ev_per_fu": 2.516
}

3.
{
  "formula": "Cu3RhO6",
  "functional": "PBE",
  "state": "optimized geometry",
  "cell": [[-0.9947, 2.9301, -0.7338], [-5.0841, -1.0191, 2.8224], [4.0043, 2.2830, 3.6886]],
  "species": ["O", "Cu", "O", "O", "Rh", "Cu", "O", "Cu", "O", "O"],
  "fractional_positions": [[0.5000, 0.6329, 0.3671], [0.5000, 0.0000, 0.5000], [0.0000, 0.0831, 0.3324], [0.0000, 0.9169, 0.6676], [0.0000, 0.5000, 0.5000], [0.0000, 0.0000, 0.0000], [0.0000, 0.3324, 0.0831], [0.5000, 0.5000, 0.0000], [0.5000, 0.3671, 0.6329], [0.0000, 0.6676, 0.9169]],
  "formation_energy_uncorrected_ev_per_fu": -4.826
}

Copy entry 2 word for word.
{
  "formula": "Pb2WBr",
  "functional": "PBE",
  "state": "optimized geometry",
  "cell": [[3.3744, 0.0050, 0.0000], [-1.8198, 2.8417, 0.0000], [0.0000, 0.0000, 10.9215]],
  "species": ["Br", "Pb", "W", "Pb"],
  "fractional_positions": [[0.5000, 0.5000, 0.6943], [0.5000, 0.5000, 0.2865], [0.0000, 0.0000, 0.5112], [0.0000, 0.0000, 0.0080]],
  "formation_energy_uncorrected_ev_per_fu": 2.516
}